Record 1
Computed, not measured: a relaxed structure of KNa2PbO4 at the PBE level of DFT.

abc: 7.4692 7.4692 7.4692
angles: 127.66 126.21 78.37
Atoms (fractional coordinates):
K 0.0000 0.0000 0.0000
K 0.5000 0.0000 0.5000
Na 0.0000 0.5000 0.5000
Na 0.5000 0.0000 0.0000
Na 0.5000 0.5000 0.0000
Na 0.5000 0.5000 0.5000
Pb 0.0000 0.0000 0.5000
Pb 0.0000 0.5000 0.0000
O 0.1894 0.2340 0.5446
O 0.1894 0.6447 0.9554
O 0.2184 0.2367 0.9817
O 0.2450 0.7633 0.4817
O 0.7550 0.2367 0.5183
O 0.7816 0.7633 0.0183
O 0.8106 0.3553 0.0446
O 0.8106 0.7660 0.4554

Values from the calculation:
The density of states at the Fermi level is 0.029 states/eV/cell. The space-group type is Imma.

---

Record 2
Computed, not measured: a relaxed structure of KNa7Pb2O7 at the PBE level of DFT.

abc: 17.8388 6.0419 10.7476
angles: 90.00 90.38 90.00
Atoms (fractional coordinates):
K 0.0364 0.0110 0.3592
K 0.0364 0.4890 0.8592
K 0.9636 0.5110 0.1408
K 0.9636 0.9890 0.6408
Na 0.0793 0.0582 0.0690
Na 0.0793 0.4418 0.5690
Na 0.2056 0.0984 0.4081
Na 0.2056 0.4016 0.9081
Na 0.2463 0.6434 0.5408
Na 0.2463 0.8566 0.0408
Na 0.3059 0.1810 0.6664
Na 0.3059 0.3190 0.1664
Na 0.3222 0.7146 0.7938
Na 0.3222 0.7854 0.2938
Na 0.3638 0.1648 0.9209
Na 0.3638 0.3352 0.4209
Na 0.4708 0.1667 0.1873
Na 0.4708 0.3333 0.6873
Na 0.5292 0.6667 0.3127
Na 0.5292 0.8333 0.8127
Na 0.6362 0.6648 0.5791
Na 0.6362 0.8352 0.0791
Na 0.6778 0.2146 0.7062
Na 0.6778 0.2854 0.2062
Na 0.6941 0.6810 0.8336
Na 0.6941 0.8190 0.3336
Na 0.7537 0.1434 0.9592
Na 0.7537 0.3566 0.4592
Na 0.7944 0.5984 0.0919
Na 0.7944 0.9016 0.5919
Na 0.9207 0.5582 0.4310
Na 0.9207 0.9418 0.9310
Pb 0.1425 0.5652 0.2475
Pb 0.1425 0.9348 0.7475
Pb 0.4217 0.6821 0.0590
Pb 0.4217 0.8179 0.5590
Pb 0.5783 0.1821 0.4410
Pb 0.5783 0.3179 0.9410
Pb 0.8575 0.0652 0.2525
Pb 0.8575 0.4348 0.7525
O 0.0475 0.5164 0.3602
O 0.0475 0.9836 0.8602
O 0.1176 0.0683 0.5709
O 0.1176 0.4317 0.0709
O 0.1663 0.5948 0.7195
O 0.1663 0.9052 0.2195
O 0.2399 0.0460 0.8433
O 0.2399 0.4540 0.3433
O 0.3190 0.5260 0.9835
O 0.3190 0.9740 0.4835
O 0.3618 0.5137 0.6176
O 0.3618 0.9863 0.1176
O 0.4171 0.5096 0.2424
O 0.4171 0.9904 0.7424
O 0.5829 0.0096 0.2576
O 0.5829 0.4904 0.7576
O 0.6382 0.0137 0.8824
O 0.6382 0.4863 0.3824
O 0.6810 0.0260 0.5165
O 0.6810 0.4740 0.0165
O 0.7601 0.5460 0.6567
O 0.7601 0.9540 0.1567
O 0.8337 0.0948 0.7805
O 0.8337 0.4052 0.2805
O 0.8824 0.5683 0.9291
O 0.8824 0.9317 0.4291
O 0.9525 0.0164 0.1398
O 0.9525 0.4836 0.6398

Values from the calculation:
The space-group type is P2_1/c.

---

Record 3
Computed, not measured: a relaxed structure of K2Na2PmO4 at the PBE level of DFT.

abc: 6.6389 6.6389 8.9988
angles: 124.99 124.99 32.37
Atoms (fractional coordinates):
K 0.1826 0.1826 0.2934
K 0.8174 0.8174 0.7066
Na 0.3564 0.3564 0.1190
Na 0.6436 0.6436 0.8810
Pm 0.0000 0.0000 0.5000
O 0.2053 0.2053 0.7944
O 0.4353 0.4353 0.6020
O 0.5647 0.5647 0.3980
O 0.7947 0.7947 0.2056

Values from the calculation:
The density of states at the Fermi level is 10.436 states/eV/cell. The space-group type is C2/m.

---

Record 4
Computed, not measured: a relaxed structure of KNaPtO2 at the PBE level of DFT.

abc: 6.7149 6.7149 5.3418
angles: 90.00 90.00 131.34
Atoms (fractional coordinates):
K 0.2500 0.7500 0.7526
K 0.7500 0.2500 0.2474
Na 0.2500 0.2500 0.0000
Na 0.7500 0.7500 0.0000
Pt 0.0000 0.0000 0.5000
Pt 0.5000 0.5000 0.5000
O 0.1104 0.8896 0.2420
O 0.3896 0.6104 0.2420
O 0.6104 0.3896 0.7580
O 0.8896 0.1104 0.7580

Values from the calculation:
The density of states at the Fermi level is 8.172 states/eV/cell. The space-group type is Cmme.

---

Record 5
Computed, not measured: a relaxed structure of K2Na3PtO6 at the PBE level of DFT.

abc: 6.3679 6.3679 5.7509
angles: 100.54 100.54 121.31
Atoms (fractional coordinates):
K 0.1718 0.8282 0.0000
K 0.8282 0.1718 0.0000
Na 0.0000 0.0000 0.5000
Na 0.3582 0.6418 0.5000
Na 0.6418 0.3582 0.5000
Pt 0.5000 0.5000 0.0000
O 0.1761 0.4263 0.7721
O 0.3045 0.3045 0.2001
O 0.4263 0.1761 0.7721
O 0.5737 0.8239 0.2279
O 0.6955 0.6955 0.7999
O 0.8239 0.5737 0.2279

Values from the calculation:
The density of states at the Fermi level is 6.867 states/eV/cell. The space-group type is C2/m.

---

Record 6
Computed, not measured: a relaxed structure of KNa2PtO4 at the PBE level of DFT.

abc: 5.4880 5.4880 5.4880
angles: 113.42 113.42 101.83
Atoms (fractional coordinates):
K 0.0000 0.0000 0.0000
Na 0.2500 0.7500 0.5000
Na 0.5000 0.5000 0.0000
Pt 0.7500 0.2500 0.5000
O 0.5257 0.0233 0.0513
O 0.5256 0.4743 0.4976
O 0.9720 0.4744 0.9487
O 0.9767 0.0280 0.5024

Values from the calculation:
The density of states at the Fermi level is 0.940 states/eV/cell. The space-group type is I-4.

---

no.,M_tot (μB per cell),final energy (eV/atom)
1,2.06,-4.4963
2,0.00,-4.3805
3,1.06,-4.9994
4,2.80,-4.5953
5,3.06,-4.5290
6,3.01,-4.7414